DFT (GGA-PBE) results for crystalline Sr3Zn4Pt2 at its relaxed geometry.

Cell lengths 6.1887, 6.1887, 8.8060 Å; angles 102.50, 102.50, 42.42 degrees
Positions (direct):
Sr: 0.0000 0.0000 0.0000
Sr: 0.3280 0.3280 0.3430
Sr: 0.6720 0.6720 0.6570
Zn: 0.0505 0.0505 0.3793
Zn: 0.2789 0.2789 0.9407
Zn: 0.7211 0.7211 0.0593
Zn: 0.9495 0.9495 0.6207
Pt: 0.3930 0.3930 0.7244
Pt: 0.6070 0.6070 0.2756

Values from the calculation:
DOS(E_F) (states/eV/cell): 5.48
Crystal system: monoclinic

***

DFT (GGA-PBE) results for crystalline Pm6Pr3Ho at its relaxed geometry.

Cell lengths 6.7543, 6.7543, 9.2115 Å; angles 105.02, 105.02, 61.16 degrees
Positions (direct):
Pm: 0.0716 0.5513 0.1975
Pm: 0.1244 0.1244 0.4177
Pm: 0.4487 0.9284 0.8025
Pm: 0.5513 0.0716 0.1975
Pm: 0.8756 0.8756 0.5823
Pm: 0.9284 0.4487 0.8025
Pr: 0.4239 0.4239 0.8316
Pr: 0.5000 0.5000 0.5000
Pr: 0.5761 0.5761 0.1684
Ho: 0.0000 0.0000 0.0000

Values from the calculation:
DOS(E_F) (states/eV/cell): 17.72
Crystal system: monoclinic

***

DFT (GGA-PBE) results for crystalline BaAcCu2Si2 at its relaxed geometry.

Cell lengths 4.2519, 4.2519, 9.3964 Å; angles 90.00, 90.00, 120.00 degrees
Positions (direct):
Ba: 0.0000 0.0000 0.0000
Ac: 0.0000 0.0000 0.5000
Cu: 0.3333 0.6667 0.7365
Cu: 0.6667 0.3333 0.2635
Si: 0.3333 0.6667 0.2645
Si: 0.6667 0.3333 0.7355

Values from the calculation:
DOS(E_F) (states/eV/cell): 2.85
ΔE_f (raw) (eV per atom): -0.40
Crystal system: trigonal

***

| no. | size of the total moment (μB per cell) | VASP energy (hartree per atom) |
| --- | --- | --- |
| 1 | 0.00 | -0.1108 |
| 2 | 0.00 | -0.1663 |
| 3 | 0.00 | -0.1684 |